Material: HfCo2Au
Method: DFT, PBE-GGA
State: optimized geometry

The energy of formation from the pure elements comes out at -25.3 meV per atom. The calculation puts the total energy at -6.884 eV per atom.

It has space group F-43m (No. 216), with a = 6.2565 Å, b = 6.2565 Å, c = 6.2565 Å, α = 90.00°, β = 90.00° and γ = 90.00°. The inequivalent atoms are Hf at (0.0000, 0.0000, 0.0000), Co at (0.0000, 0.0000, 0.5000), Co at (0.2500, 0.2500, 0.7500) and Au at (0.2500, 0.2500, 0.2500).